## i
BeHgCl2: PBEsol geometry, meta-GGA SCAN.

Output
The value obtained for the calculated volume is 99.8 Å³ per cell.

Cell and atoms, written as extended XYZ:
```
4
Lattice="1.526 -3.318 0.000 1.526 3.318 0.000 0.000 0.000 9.856" Properties=species:S:1:pos:R:3 pbc="T T T"
Be 0.000 0.000 0.000
Hg 0.000 0.000 4.928
Cl 1.526 0.000 1.446
Cl 1.526 0.000 8.410
```

---

## ii
BeHgCl2: PBEsol geometry, meta-GGA SCAN.

Output
The value obtained for the calculated volume is 96.8 Å³ per cell.

Cell and atoms, written as extended XYZ:
```
4
Lattice="3.279 0.000 0.000 0.000 3.275 0.000 -1.599 0.000 9.009" Properties=species:S:1:pos:R:3 pbc="T T T"
Be 0.000 0.000 0.000
Hg 0.016 1.638 4.328
Cl 1.640 0.000 1.206
Cl 1.681 1.638 7.802
```

---

Most stable to least stable, the ends of the list are ii and i.

---

## i
Be2HgCl: PBEsol geometry, meta-GGA SCAN.

Output
The value obtained for the calculated volume is 65.4 Å³ per cell.

Cell and atoms, written as extended XYZ:
```
4
Lattice="-1.467 2.945 3.783 1.467 -2.945 3.783 1.467 2.945 -3.783" Properties=species:S:1:pos:R:3 pbc="T T T"
Be 0.000 0.000 1.792
Be 0.000 0.000 5.773
Hg 0.000 2.945 0.000
Cl 1.467 0.000 0.000
```

---

## ii
Be2HgCl: PBEsol geometry, meta-GGA SCAN.

Output
The value obtained for the calculated volume is 71.8 Å³ per cell.

Cell and atoms, written as extended XYZ:
```
4
Lattice="0.000 3.299 3.299 3.299 0.000 3.299 3.299 3.299 0.000" Properties=species:S:1:pos:R:3 pbc="T T T"
Be 0.000 0.000 0.000
Be 1.649 1.649 1.649
Hg 4.948 4.948 4.948
Cl 3.299 3.299 3.299
```

---

Most stable to least stable, the ends of the list are i and ii.

---

## i
BeIrCl2: PBEsol geometry, meta-GGA SCAN.

Output
The value obtained for the calculated volume is 80.4 Å³ per cell.

Cell and atoms, written as extended XYZ:
```
4
Lattice="1.493 0.862 10.412 -1.493 0.862 10.412 0.000 -1.724 10.412" Properties=species:S:1:pos:R:3 pbc="T T T"
Be 0.000 0.000 0.000
Ir 0.000 0.000 15.618
Cl 0.000 0.000 1.776
Cl 0.000 0.000 29.460
```

---

## ii
BeIrCl2: PBEsol geometry, meta-GGA SCAN.

Output
The value obtained for the calculated volume is 73.1 Å³ per cell.

Cell and atoms, written as extended XYZ:
```
4
Lattice="3.460 -1.477 0.000 3.460 1.477 0.000 -0.490 0.000 7.151" Properties=species:S:1:pos:R:3 pbc="T T T"
Be 0.000 0.000 0.000
Ir 4.980 0.000 0.971
Cl 2.001 0.000 2.847
Cl 3.725 0.000 5.876
```

---

Most stable to least stable, the ends of the list are ii and i.

---

## i
BeIrCl: PBEsol geometry, meta-GGA SCAN.

Output
The value obtained for the calculated volume is 43.0 Å³ per cell.

Cell and atoms, written as extended XYZ:
```
3
Lattice="-1.414 1.414 5.375 1.414 -1.414 5.375 1.414 1.414 -5.375" Properties=species:S:1:pos:R:3 pbc="T T T"
Be 0.000 0.000 0.000
Ir 0.000 0.000 4.219
Cl 0.000 0.000 7.688
```

---

## ii
BeIrCl: PBEsol geometry, meta-GGA SCAN.

Output
The value obtained for the calculated volume is 43.7 Å³ per cell.

Cell and atoms, written as extended XYZ:
```
3
Lattice="0.000 2.796 2.796 2.796 0.000 2.796 2.796 2.796 0.000" Properties=species:S:1:pos:R:3 pbc="T T T"
Be 0.000 0.000 0.000
Ir 2.796 2.796 2.796
Cl 4.194 4.194 4.194
```

---

## iii
BeIrCl: PBEsol geometry, meta-GGA SCAN.

Output
The value obtained for the calculated volume is 44.2 Å³ per cell.

Cell and atoms, written as extended XYZ:
```
3
Lattice="0.000 2.806 2.806 2.806 0.000 2.806 2.806 2.806 0.000" Properties=species:S:1:pos:R:3 pbc="T T T"
Be 0.000 0.000 0.000
Ir 1.403 1.403 1.403
Cl 2.806 2.806 2.806
```

---

Most stable to least stable, the ends of the list are i and ii.